Record 1
Here is an optimized crystal structure of AsRh2Se from the Alexandria database. Energies are from PBE.

Cell: 3.7409 3.7409 8.9348 Å, 90.00 90.00 90.00°
Space group I-4m2 (No. 119)
Asymmetric unit:
As 0.0000 0.0000 0.0000 x2
Rh 0.0000 0.0000 0.5000 x2
Rh 0.0000 0.5000 0.7500 x2
Se 0.0000 0.5000 0.2500 x2

Calculated values
Mass density in Mg/m³: 9.55
Energy above the lowest structure with this stoichiometry in eV/atom: 0.411
N(E_F) in states/eV per atom: 0.62
Uncorrected formation energy in meV/atom: 37.3

Record 2
Here is an optimized crystal structure of Mg2ZnW from the Alexandria database. Energies are from PBE.

Cell: 9.8213 2.8332 5.1321 Å, 90.00 102.62 90.00°
Space group Cm (No. 8)
Asymmetric unit:
Mg 0.0000 0.0000 0.0000 x2
Mg 0.2368 0.0000 0.7468 x2
Zn 0.2374 0.5000 0.2924 x2
W 0.4805 0.0000 0.4838 x2

Calculated values
Mass density in Mg/m³: 7.10
N(E_F) in states/eV per atom: 0.45
ΔH_f (0 K) in eV per atom: 0.342

Record 3
Here is an optimized crystal structure of Ta12Mn3Cu5 from the Alexandria database. Energies are from PBE.

Cell: 14.5695 14.5695 14.5695 Å, 90.00 90.00 90.00°
Space group Ia-3d (No. 230)
Asymmetric unit:
Ta 0.0171 0.0833 0.6490 x96
Mn 0.0000 0.2500 0.1250 x24
Cu 0.0000 0.0000 0.0000 x16
Cu 0.0000 0.2500 0.3750 x24

Calculated values
Mass density in Mg/m³: 11.40
N(E_F) in states/eV per atom: 1.02
ΔH_f (0 K) in eV per atom: 0.908

Record 4
Here is an optimized crystal structure of Mn2Co from the Alexandria database. Energies are from PBE.

Cell: 3.8961 3.8961 2.4380 Å, 90.00 90.00 120.00°
Space group P6/mmm (No. 191)
Asymmetric unit:
Mn 0.3333 0.6667 0.0000 x2
Co 0.0000 0.0000 0.5000 x1

Calculated values
Mass density in Mg/m³: 8.75
N(E_F) in states/eV per atom: 1.20
ΔH_f (0 K) in eV per atom: 0.126

Record 5
Here is an optimized crystal structure of ScHg2S4 from the Alexandria database. Energies are from PBE.

Cell: 5.1150 5.1150 12.8216 Å, 90.00 90.00 90.00°
Space group I4/mmm (No. 139)
Asymmetric unit:
Sc 0.0000 0.0000 0.0000 x2
Hg 0.0000 0.0000 0.3843 x4
S 0.0000 0.0000 0.1976 x4
S 0.0000 0.5000 0.0000 x4

Calculated values
Mass density in Mg/m³: 5.69
N(E_F) in states/eV per atom: 0.66
Uncorrected formation energy in meV/atom: -266.9

Record 6
Here is an optimized crystal structure of Hf2ScAl from the Alexandria database. Energies are from PBE.

Cell: 5.0222 6.1277 10.7479 Å, 90.00 90.00 90.00°
Space group Amm2 (No. 38)
Asymmetric unit:
Hf 0.0000 0.0000 0.0000 x2
Hf 0.0000 0.2474 0.2407 x4
Hf 0.5000 0.0000 0.6548 x2
Sc 0.5000 0.2440 0.4104 x4
Al 0.0000 0.0000 0.4937 x2
Al 0.5000 0.0000 0.1591 x2

Calculated values
Mass density in Mg/m³: 8.61
N(E_F) in states/eV per atom: 1.23
ΔH_f (0 K) in eV per atom: -0.208

Record 7
Here is an optimized crystal structure of Sm4Tm4Th from the Alexandria database. Energies are from PBE.

Cell: 10.7127 10.7127 5.0131 Å, 90.00 90.00 90.00°
Space group I4/mmm (No. 139)
Asymmetric unit:
Sm 0.0000 0.3293 0.0000 x8
Tm 0.1642 0.1642 0.5000 x8
Th 0.0000 0.0000 0.0000 x2

Calculated values
Mass density in Mg/m³: 8.71
Energy above the lowest structure with this stoichiometry in eV/atom: 0.000
N(E_F) in states/eV per atom: 1.45
ΔH_f (0 K) in eV per atom: 0.028

Record 8
Here is an optimized crystal structure of PmSm2Cd3 from the Alexandria database. Energies are from PBE.

Cell: 3.8195 3.8195 11.4666 Å, 90.00 90.00 90.00°
Space group P4/mmm (No. 123)
Asymmetric unit:
Pm 0.0000 0.0000 0.0000 x1
Sm 0.0000 0.0000 0.3340 x2
Cd 0.5000 0.5000 0.1684 x2
Cd 0.5000 0.5000 0.5000 x1

Calculated values
Mass density in Mg/m³: 7.77
N(E_F) in states/eV per atom: 1.20
ΔH_f (0 K) in eV per atom: -0.317

Record 9
Here is an optimized crystal structure of Tl2In2Ni from the Alexandria database. Energies are from PBE.

Cell: 6.8092 6.8092 5.7907 Å, 90.00 90.00 90.00°
Space group P4/mbm (No. 127)
Asymmetric unit:
Tl 0.1798 0.3202 0.0000 x4
In 0.1670 0.6670 0.5000 x4
Ni 0.0000 0.0000 0.5000 x2

Calculated values
Mass density in Mg/m³: 8.62
Energy above the lowest structure with this stoichiometry in eV/atom: 0.000
N(E_F) in states/eV per atom: 0.44
ΔH_f (0 K) in eV per atom: 0.166

Record 10
Here is an optimized crystal structure of BaTaSi from the Alexandria database. Energies are from PBE.

Cell: 4.4617 4.4617 5.0891 Å, 90.00 90.00 120.00°
Space group P-6m2 (No. 187)
Asymmetric unit:
Ba 0.0000 0.0000 0.0000 x1
Ta 0.3333 0.6667 0.5000 x1
Si 0.6667 0.3333 0.5000 x1

Calculated values
Mass density in Mg/m³: 6.56
Energy above the lowest structure with this stoichiometry in eV/atom: 0.661
N(E_F) in states/eV per atom: 0.97
Uncorrected formation energy in meV/atom: 401.1

Record 11
Here is an optimized crystal structure of LiPmPrLu from the Alexandria database. Energies are from PBE.

Cell: 7.8556 7.8556 7.8556 Å, 90.00 90.00 90.00°
Space group F-43m (No. 216)
Asymmetric unit:
Li 0.0000 0.0000 0.0000 x4
Pm 0.2500 0.2500 0.2500 x4
Pr 0.2500 0.2500 0.7500 x4
Lu 0.0000 0.0000 0.5000 x4

Calculated values
Mass density in Mg/m³: 6.41
N(E_F) in states/eV per atom: 1.10
ΔH_f (0 K) in eV per atom: 0.137

Record 12
Here is an optimized crystal structure of PrSiRh2 from the Alexandria database. Energies are from PBE.

Cell: 5.7632 7.5915 3.6313 Å, 90.00 90.00 90.00°
Space group Cmmm (No. 65)
Asymmetric unit:
Pr 0.0000 0.0000 0.0000 x2
Si 0.0000 0.5000 0.0000 x2
Rh 0.0000 0.3120 0.5000 x4

Calculated values
Mass density in Mg/m³: 7.83
N(E_F) in states/eV per atom: 0.67
Uncorrected formation energy in meV/atom: -436.8

Record 13
Here is an optimized crystal structure of PmY3Pd4 from the Alexandria database. Energies are from PBE.

Cell: 5.0038 5.0038 24.5797 Å, 90.00 90.00 120.00°
Space group R-3m (No. 166, hexagonal axes)
Asymmetric unit:
Pm 0.0000 0.0000 0.0000 x3
Y 0.0000 0.0000 0.2493 x6
Y 0.0000 0.0000 0.5000 x3
Pd 0.0000 0.0000 0.1265 x6
Pd 0.0000 0.0000 0.3776 x6

Calculated values
Mass density in Mg/m³: 7.83
N(E_F) in states/eV per atom: 0.69
ΔH_f (0 K) in eV per atom: -0.847

Record 14
Here is an optimized crystal structure of Zr2FeRh from the Alexandria database. Energies are from PBE.

Cell: 3.2235 3.2235 23.8456 Å, 90.00 90.00 120.00°
Space group R-3m (No. 166, hexagonal axes)
Asymmetric unit:
Zr 0.0000 0.0000 0.2460 x6
Fe 0.0000 0.0000 0.5000 x3
Rh 0.0000 0.0000 0.0000 x3

Calculated values
Mass density in Mg/m³: 7.92
N(E_F) in states/eV per atom: 0.85
ΔH_f (0 K) in eV per atom: -0.149

Record 15
Here is an optimized crystal structure of Zr2TiRhO from the Alexandria database. Energies are from PBE.

Cell: 5.2299 5.2299 3.7559 Å, 90.00 90.00 90.00°
Space group P4/mmm (No. 123)
Asymmetric unit:
Zr 0.0000 0.5000 0.0000 x2
Ti 0.0000 0.0000 0.5000 x1
Rh 0.5000 0.5000 0.0000 x1
O 0.5000 0.5000 0.5000 x1

Calculated values
Mass density in Mg/m³: 5.64
Energy above the lowest structure with this stoichiometry in eV/atom: 1.563
N(E_F) in states/eV per atom: 1.34
Uncorrected formation energy in meV/atom: 284.9

Record 16
Here is an optimized crystal structure of Ce2Co3Sn5 from the Alexandria database. Energies are from PBE.

Cell: 4.4270 26.0061 7.0628 Å, 90.00 90.00 90.00°
Space group Cmc2_1 (No. 36)
Asymmetric unit:
Ce 0.0000 0.0295 0.0000 x4
Ce 0.0000 0.3313 0.9525 x4
Co 0.0000 0.1006 0.2231 x4
Co 0.0000 0.2765 0.4455 x4
Co 0.0000 0.4498 0.2160 x4
Sn 0.0000 0.0931 0.6105 x4
Sn 0.0000 0.2046 0.1594 x4
Sn 0.0000 0.2123 0.7360 x4
Sn 0.0000 0.3761 0.4763 x4
Sn 0.0000 0.4538 0.8337 x4

Calculated values
Mass density in Mg/m³: 8.58
N(E_F) in states/eV per atom: 0.71
ΔH_f (0 K) in eV per atom: -0.406

Record 17
Here is an optimized crystal structure of Pm3YCd from the Alexandria database. Energies are from PBE.

Cell: 3.6817 12.0715 7.5392 Å, 90.00 104.10 90.00°
Space group Pm (No. 6)
Asymmetric unit:
Pm 0.0000 0.0000 0.0000 x1
Pm 0.0999 0.5000 0.1896 x1
Pm 0.4445 0.2228 0.8822 x2
Pm 0.7618 0.3459 0.5162 x2
Y 0.4086 0.5000 0.8091 x1
Y 0.7523 0.0000 0.4971 x1
Cd 0.1422 0.1915 0.2755 x2

Calculated values
Mass density in Mg/m³: 6.50
Energy above the lowest structure with this stoichiometry in eV/atom: 0.158
N(E_F) in states/eV per atom: 1.08
ΔH_f (0 K) in eV per atom: 0.042

Record 18
Here is an optimized crystal structure of ReSb2RhO from the Alexandria database. Energies are from PBE.

Cell: 4.8677 4.8677 3.8117 Å, 90.00 90.00 90.00°
Space group P4/mmm (No. 123)
Asymmetric unit:
Re 0.0000 0.0000 0.0000 x1
Sb 0.0000 0.5000 0.5000 x2
Rh 0.5000 0.5000 0.0000 x1
O 0.0000 0.0000 0.5000 x1

Calculated values
Mass density in Mg/m³: 10.09
N(E_F) in states/eV per atom: 0.91
Uncorrected formation energy in meV/atom: 331.7

Record 19
Here is an optimized crystal structure of KBeCu from the Alexandria database. Energies are from PBE.

Cell: 3.1595 3.1595 11.9631 Å, 90.00 90.00 90.00°
Space group I4mm (No. 107)
Asymmetric unit:
K 0.0000 0.0000 0.0000 x2
Be 0.0000 0.0000 0.2612 x2
Cu 0.0000 0.0000 0.7342 x2

Calculated values
Mass density in Mg/m³: 3.11
Energy above the lowest structure with this stoichiometry in eV/atom: 0.000
N(E_F) in states/eV per atom: 0.26
ΔH_f (0 K) in eV per atom: 0.441

Record 20
Here is an optimized crystal structure of KNa3Ag from the Alexandria database. Energies are from PBE.

Cell: 9.8404 7.7600 11.2345 Å, 90.00 116.84 90.00°
Space group P2_1/c (No. 14)
Asymmetric unit:
K 0.1502 0.0637 0.2530 x4
Na 0.1639 0.6357 0.0746 x4
Na 0.3091 0.0081 0.9371 x4
Na 0.4676 0.1662 0.7020 x4
Ag 0.4592 0.6583 0.0345 x4

Calculated values
Mass density in Mg/m³: 1.87
Energy above the lowest structure with this stoichiometry in eV/atom: 0.000
N(E_F) in states/eV per atom: 0.45
ΔH_f (0 K) in eV per atom: 0.013